a | Density functional theory data (meta-GGA SCAN) for a crystal of NiTeO4 relaxed with PBEsol.

Structure (CIF):
```
data_NiTeO4
_cell_length_a 4.862
_cell_length_b 3.079
_cell_length_c 5.230
_cell_angle_alpha 90.00
_cell_angle_beta 109.47
_cell_angle_gamma 90.00
_symmetry_space_group_name_H-M 'P 1 2/m 1'
_symmetry_Int_Tables_number 10
loop_
_symmetry_equiv_pos_as_xyz
'x,y,z'
'-x,-y,-z'
'-x,y,-z'
'x,-y,z'
loop_
_atom_site_label
_atom_site_type_symbol
_atom_site_fract_x
_atom_site_fract_y
_atom_site_fract_z
Ni1 Ni 0.000 0.000 0.000
Te1 Te 0.000 0.500 0.500
O1 O 0.202 0.500 0.243
O2 O 0.229 0.000 0.726
```

---

b | Density functional theory data (meta-GGA SCAN) for a crystal of NiTeO4 relaxed with PBEsol.

density of states at the Fermi level = 0.02 states/eV/atom

Structure (CIF):
```
data_NiTeO4
_cell_length_a 5.537
_cell_length_b 4.606
_cell_length_c 5.601
_cell_angle_alpha 90.00
_cell_angle_beta 113.88
_cell_angle_gamma 90.00
_symmetry_space_group_name_H-M 'P 1 21/c 1'
_symmetry_Int_Tables_number 14
loop_
_symmetry_equiv_pos_as_xyz
'x,y,z'
'-x,-y,-z'
'-x,y+1/2,-z+1/2'
'x,-y+1/2,z+1/2'
loop_
_atom_site_label
_atom_site_type_symbol
_atom_site_fract_x
_atom_site_fract_y
_atom_site_fract_z
Ni1 Ni 0.000 0.000 0.000
Te1 Te 0.500 0.000 0.500
O1 O 0.171 0.201 0.349
O2 O 0.339 0.720 0.667
```

---

Top of the stability list: b, leading by 13.6 kJ/mol of atoms.

---

a | Density functional theory data (meta-GGA SCAN) for a crystal of ZnNi4O5 relaxed with PBEsol.

Structure (CIF):
```
data_ZnNi4O5
_cell_length_a 6.521
_cell_length_b 6.521
_cell_length_c 4.131
_cell_angle_alpha 90.00
_cell_angle_beta 90.00
_cell_angle_gamma 90.00
_symmetry_space_group_name_H-M 'I 4/m'
_symmetry_Int_Tables_number 87
_symmetry_space_group_name_Hall '-I 4'
loop_
_atom_site_label
_atom_site_type_symbol
_atom_site_fract_x
_atom_site_fract_y
_atom_site_fract_z
Zn1 Zn 0.000 0.000 0.000
Ni1 Ni 0.101 0.302 0.500
O1 O 0.000 0.000 0.500
O2 O 0.115 0.307 0.000
```

---

b | Density functional theory data (meta-GGA SCAN) for a crystal of ZnNi4O5 relaxed with PBEsol.

density of states at the Fermi level = 0.00 states/eV/atom

Structure (CIF):
```
data_ZnNi4O5
_cell_length_a 12.748
_cell_length_b 2.943
_cell_length_c 9.710
_cell_angle_alpha 90.00
_cell_angle_beta 102.42
_cell_angle_gamma 90.00
_symmetry_space_group_name_H-M 'C 1 2/m 1'
_symmetry_Int_Tables_number 12
loop_
_symmetry_equiv_pos_as_xyz
'x,y,z'
'-x,-y,-z'
'-x,y,-z'
'x,-y,z'
'x+1/2,y+1/2,z'
'-x+1/2,-y+1/2,-z'
'-x+1/2,y+1/2,-z'
'x+1/2,-y+1/2,z'
loop_
_atom_site_label
_atom_site_type_symbol
_atom_site_fract_x
_atom_site_fract_y
_atom_site_fract_z
Zn1 Zn 0.100 0.000 0.301
Ni1 Ni 0.000 0.000 0.000
Ni2 Ni 0.000 0.500 0.500
Ni3 Ni 0.100 0.500 0.801
Ni4 Ni 0.200 0.500 0.098
Ni5 Ni 0.201 0.000 0.603
O1 O 0.047 0.500 0.144
O2 O 0.051 0.000 0.650
O3 O 0.152 0.000 0.950
O4 O 0.152 0.500 0.454
O5 O 0.249 0.500 0.752
```

---

Top of the stability list: b, leading by 7.4 kJ/mol of atoms.

---

a | Density functional theory data (meta-GGA SCAN) for a crystal of NiPOs2 relaxed with PBEsol.

density of states at the Fermi level = 0.66 states/eV/atom

Structure (CIF):
```
data_NiPOs2
_cell_length_a 2.820
_cell_length_b 2.820
_cell_length_c 6.210
_cell_angle_alpha 90.00
_cell_angle_beta 90.00
_cell_angle_gamma 90.00
_symmetry_space_group_name_H-M 'P 4 m m'
_symmetry_Int_Tables_number 99
loop_
_symmetry_equiv_pos_as_xyz
'x,y,z'
'-y,x,z'
'-x,-y,z'
'y,-x,z'
'-x,y,z'
'y,x,z'
'x,-y,z'
'-y,-x,z'
loop_
_atom_site_label
_atom_site_type_symbol
_atom_site_fract_x
_atom_site_fract_y
_atom_site_fract_z
Ni1 Ni 0.000 0.000 0.000
P1 P 0.500 0.500 0.823
Os1 Os 0.000 0.000 0.570
Os2 Os 0.500 0.500 0.285
```

---

b | Density functional theory data (meta-GGA SCAN) for a crystal of NiPOs2 relaxed with PBEsol.

density of states at the Fermi level = 0.55 states/eV/atom

Structure (CIF):
```
data_NiPOs2
_cell_length_a 2.762
_cell_length_b 3.875
_cell_length_c 9.796
_cell_angle_alpha 90.00
_cell_angle_beta 90.00
_cell_angle_gamma 90.00
_symmetry_space_group_name_H-M 'I m m m'
_symmetry_Int_Tables_number 71
_symmetry_space_group_name_Hall '-I 2 2'
loop_
_atom_site_label
_atom_site_type_symbol
_atom_site_fract_x
_atom_site_fract_y
_atom_site_fract_z
Ni1 Ni 0.000 0.000 0.000
P1 P 0.000 0.000 0.500
Os1 Os 0.000 0.500 0.194
```

---

c | Density functional theory data (meta-GGA SCAN) for a crystal of NiPOs2 relaxed with PBEsol.

density of states at the Fermi level = 0.69 states/eV/atom

Structure (CIF):
```
data_NiPOs2
_cell_length_a 5.932
_cell_length_b 5.932
_cell_length_c 5.932
_cell_angle_alpha 90.00
_cell_angle_beta 90.00
_cell_angle_gamma 90.00
_symmetry_space_group_name_H-M 'F -4 3 m'
_symmetry_Int_Tables_number 216
_symmetry_space_group_name_Hall 'F -4 2 3'
loop_
_atom_site_label
_atom_site_type_symbol
_atom_site_fract_x
_atom_site_fract_y
_atom_site_fract_z
Ni1 Ni 0.000 0.000 0.000
P1 P 0.250 0.250 0.750
Os1 Os 0.000 0.000 0.500
Os2 Os 0.250 0.250 0.250
```

---

d | Density functional theory data (meta-GGA SCAN) for a crystal of NiPOs2 relaxed with PBEsol.

density of states at the Fermi level = 0.96 states/eV/atom

Structure (CIF):
```
data_NiPOs2
_cell_length_a 5.230
_cell_length_b 8.228
_cell_length_c 2.736
_cell_angle_alpha 90.00
_cell_angle_beta 117.83
_cell_angle_gamma 90.00
_symmetry_space_group_name_H-M 'C 1 2/m 1'
_symmetry_Int_Tables_number 12
loop_
_symmetry_equiv_pos_as_xyz
'x,y,z'
'-x,-y,-z'
'-x,y,-z'
'x,-y,z'
'x+1/2,y+1/2,z'
'-x+1/2,-y+1/2,-z'
'-x+1/2,y+1/2,-z'
'x+1/2,-y+1/2,z'
loop_
_atom_site_label
_atom_site_type_symbol
_atom_site_fract_x
_atom_site_fract_y
_atom_site_fract_z
Ni1 Ni 0.000 0.000 0.000
P1 P 0.000 0.500 0.000
Os1 Os 0.250 0.250 0.500
```

---

Top of the stability list: b, leading by 5.8 kJ/mol of atoms.

---

a | Density functional theory data (meta-GGA SCAN) for a crystal of NiOsPb2 relaxed with PBEsol.

density of states at the Fermi level = 0.80 states/eV/atom

Structure (CIF):
```
data_NiOsPb2
_cell_length_a 3.080
_cell_length_b 4.259
_cell_length_c 11.677
_cell_angle_alpha 90.00
_cell_angle_beta 90.00
_cell_angle_gamma 90.00
_symmetry_space_group_name_H-M 'I m m 2'
_symmetry_Int_Tables_number 44
loop_
_symmetry_equiv_pos_as_xyz
'x,y,z'
'-x,-y,z'
'-x,y,z'
'x,-y,z'
'x+1/2,y+1/2,z+1/2'
'-x+1/2,-y+1/2,z+1/2'
'-x+1/2,y+1/2,z+1/2'
'x+1/2,-y+1/2,z+1/2'
loop_
_atom_site_label
_atom_site_type_symbol
_atom_site_fract_x
_atom_site_fract_y
_atom_site_fract_z
Ni1 Ni 0.000 0.000 0.000
Os1 Os 0.000 0.500 0.320
Pb1 Pb 0.000 0.000 0.479
Pb2 Pb 0.000 0.500 0.714
```

---

b | Density functional theory data (meta-GGA SCAN) for a crystal of NiOsPb2 relaxed with PBEsol.

density of states at the Fermi level = 0.50 states/eV/atom

Structure (CIF):
```
data_NiOsPb2
_cell_length_a 3.310
_cell_length_b 3.308
_cell_length_c 6.557
_cell_angle_alpha 90.00
_cell_angle_beta 92.84
_cell_angle_gamma 90.00
_symmetry_space_group_name_H-M 'P 1 2/m 1'
_symmetry_Int_Tables_number 10
loop_
_symmetry_equiv_pos_as_xyz
'x,y,z'
'-x,-y,-z'
'-x,y,-z'
'x,-y,z'
loop_
_atom_site_label
_atom_site_type_symbol
_atom_site_fract_x
_atom_site_fract_y
_atom_site_fract_z
Ni1 Ni 0.000 0.000 0.000
Os1 Os 0.000 0.000 0.500
Pb1 Pb 0.483 0.500 0.244
```

---

Top of the stability list: a, leading by 10.8 kJ/mol of atoms.

---

a | Density functional theory data (meta-GGA SCAN) for a crystal of NiOs2Pt relaxed with PBEsol.

density of states at the Fermi level = 1.36 states/eV/atom

Structure (CIF):
```
data_NiOs2Pt
_cell_length_a 6.018
_cell_length_b 6.018
_cell_length_c 6.018
_cell_angle_alpha 90.00
_cell_angle_beta 90.00
_cell_angle_gamma 90.00
_symmetry_space_group_name_H-M 'F m -3 m'
_symmetry_Int_Tables_number 225
_symmetry_space_group_name_Hall '-F 4 2 3'
loop_
_atom_site_label
_atom_site_type_symbol
_atom_site_fract_x
_atom_site_fract_y
_atom_site_fract_z
Ni1 Ni 0.000 0.000 0.000
Os1 Os 0.250 0.250 0.250
Pt1 Pt 0.000 0.000 0.500
```

---

b | Density functional theory data (meta-GGA SCAN) for a crystal of NiOs2Pt relaxed with PBEsol.

density of states at the Fermi level = 0.88 states/eV/atom

Structure (CIF):
```
data_NiOs2Pt
_cell_length_a 2.701
_cell_length_b 3.733
_cell_length_c 5.332
_cell_angle_alpha 90.00
_cell_angle_beta 90.00
_cell_angle_gamma 90.00
_symmetry_space_group_name_H-M 'P m m 2'
_symmetry_Int_Tables_number 25
loop_
_symmetry_equiv_pos_as_xyz
'x,y,z'
'-x,-y,z'
'-x,y,z'
'x,-y,z'
loop_
_atom_site_label
_atom_site_type_symbol
_atom_site_fract_x
_atom_site_fract_y
_atom_site_fract_z
Ni1 Ni 0.000 0.000 0.000
Os1 Os 0.000 0.000 0.480
Os2 Os 0.500 0.500 0.250
Pt1 Pt 0.500 0.500 0.760
```

---

c | Density functional theory data (meta-GGA SCAN) for a crystal of NiOs2Pt relaxed with PBEsol.

density of states at the Fermi level = 0.88 states/eV/atom

Structure (CIF):
```
data_NiOs2Pt
_cell_length_a 8.834
_cell_length_b 2.687
_cell_length_c 4.608
_cell_angle_alpha 90.00
_cell_angle_beta 100.44
_cell_angle_gamma 90.00
_symmetry_space_group_name_H-M 'C 1 2/m 1'
_symmetry_Int_Tables_number 12
loop_
_symmetry_equiv_pos_as_xyz
'x,y,z'
'-x,-y,-z'
'-x,y,-z'
'x,-y,z'
'x+1/2,y+1/2,z'
'-x+1/2,-y+1/2,-z'
'-x+1/2,y+1/2,-z'
'x+1/2,-y+1/2,z'
loop_
_atom_site_label
_atom_site_type_symbol
_atom_site_fract_x
_atom_site_fract_y
_atom_site_fract_z
Ni1 Ni 0.000 0.000 0.000
Os1 Os 0.247 0.500 0.239
Pt1 Pt 0.000 0.500 0.500
```

---

Top of the stability list: b, leading by 9.6 kJ/mol of atoms.

---

a | Density functional theory data (meta-GGA SCAN) for a crystal of NiOsRu relaxed with PBEsol.

density of states at the Fermi level = 0.68 states/eV/atom

Structure (CIF):
```
data_NiOsRu
_cell_length_a 3.038
_cell_length_b 3.038
_cell_length_c 8.240
_cell_angle_alpha 90.00
_cell_angle_beta 90.00
_cell_angle_gamma 90.00
_symmetry_space_group_name_H-M 'I 4 m m'
_symmetry_Int_Tables_number 107
_symmetry_space_group_name_Hall 'I 4 -2'
loop_
_atom_site_label
_atom_site_type_symbol
_atom_site_fract_x
_atom_site_fract_y
_atom_site_fract_z
Ni1 Ni 0.000 0.000 0.000
Os1 Os 0.000 0.000 0.655
Ru1 Ru 0.000 0.000 0.337
```

---

b | Density functional theory data (meta-GGA SCAN) for a crystal of NiOsRu relaxed with PBEsol.

density of states at the Fermi level = 1.15 states/eV/atom

Structure (CIF):
```
data_NiOsRu
_cell_length_a 2.656
_cell_length_b 2.656
_cell_length_c 10.816
_cell_angle_alpha 90.00
_cell_angle_beta 90.00
_cell_angle_gamma 90.00
_symmetry_space_group_name_H-M 'I 4 m m'
_symmetry_Int_Tables_number 107
_symmetry_space_group_name_Hall 'I 4 -2'
loop_
_atom_site_label
_atom_site_type_symbol
_atom_site_fract_x
_atom_site_fract_y
_atom_site_fract_z
Ni1 Ni 0.000 0.000 0.000
Os1 Os 0.000 0.000 0.665
Ru1 Ru 0.000 0.000 0.333
```

---

Top of the stability list: b, leading by 11.1 kJ/mol of atoms.